Mn2ReBrF after structural relaxation, computed with PBE with a Hubbard U.

a b c (Å): 5.179 5.179 4.642
angles (deg): 90.00 90.00 90.00
Fractional coordinates of all 5 atoms:
Mn  0.000  0.500  0.000
Mn  0.500  0.000  0.000
Re  0.000  0.000  0.000
Br  0.000  0.000  0.500
F  0.500  0.500  0.500

The magnetic moment is 9.612 Bohr magnetons per cell. The value obtained for the density is 5.27 g/cm³. Its total energy is -5.6576 eV/atom. For the density of states at the Fermi level, the calculation gives 2.09 states/eV per cell.